K2YPb after structural relaxation. Source: Alexandria, functional GGA-PBE.

Output
- DFT total energy (eV per atom) = -2.944
- N(E_F) (states/eV/f.u.) = 3.21
- density (Mg/m³) = 4.1
- crystal system = monoclinic
- SG = P2/m, No. 10

Cell lengths 6.8044, 3.8728, 5.7216 Å; angles 86.21, 90.00, 90.00 degrees
With the nearest neighbours (Å) after each atom.
Fractional coordinates of all 4 atoms:
Y 0.5000 0.7500 0.7500  4 Pb 3.35-3.56
K 0.0000 0.0235 0.0154  3 K 3.30-3.41
K 0.0000 0.4765 0.4846  3 K 3.30-3.41
Pb 0.5000 0.2500 0.2500  4 Y 3.35-3.56

ThPdS after structural relaxation. Source: Alexandria, functional GGA-PBE.

Output
- N(E_F) (states/eV/f.u.) = 1.31
- density (Mg/m³) = 8.2
- crystal system = trigonal
- raw formation energy (eV per atom) = -1.170
- SG = R-3m, No. 166

Cell lengths 4.5397, 4.5397, 8.8217 Å; angles 75.09, 75.09, 60.00 degrees
With the nearest neighbours (Å) after each atom.
Fractional coordinates of all 6 atoms:
Th 0.2449 0.2449 0.2652  4 S 2.80-2.97, 4 Pd 2.90-3.06
Pd 0.3595 0.3595 0.9214  4 Th 2.90-3.06, 3 Pd 2.94
S 0.1274 0.1274 0.6177  4 Th 2.80-2.97
Pd 0.6405 0.6405 0.0786  4 Th 2.90-3.06, 3 Pd 2.94
Th 0.7551 0.7551 0.7348  4 S 2.80-2.97, 4 Pd 2.90-3.06
S 0.8726 0.8726 0.3823  4 Th 2.80-2.97

EuCdCuPb after structural relaxation. Source: Alexandria, functional GGA-PBE.

Output
- DFT total energy (eV per atom) = -4.890
- N(E_F) (states/eV/f.u.) = 6.72
- density (Mg/m³) = 9.1
- crystal system = cubic
- SG = F-43m, No. 216

Cell lengths 5.1627, 5.1627, 5.1627 Å; angles 60.00, 60.00, 60.00 degrees
With the nearest neighbours (Å) after each atom.
Fractional coordinates of all 4 atoms:
Pb 0.0000 0.0000 0.0000  4 Cd 3.16, 4 Cu 3.16
Eu 0.5000 0.5000 0.5000  4 Cu 3.16, 4 Cd 3.16
Cu 0.2500 0.2500 0.2500  4 Pb 3.16, 4 Eu 3.16
Cd 0.7500 0.7500 0.7500  4 Pb 3.16, 4 Eu 3.16

Sc2HgCl after structural relaxation. Source: Alexandria, functional GGA-PBE.

Output
- N(E_F) (states/eV/f.u.) = 3.01
- density (Mg/m³) = 6.0
- crystal system = monoclinic
- raw formation energy (eV per atom) = -0.739
- SG = Cm, No. 8

Cell lengths 8.2260, 3.5223, 14.4647 Å; angles 90.00, 120.84, 90.00 degrees
With the nearest neighbours (Å) after each atom.
Fractional coordinates of all 16 atoms:
Sc 0.3961 0.0000 0.0658  2 Cl 2.62
Hg 0.7163 0.5000 0.1100  5 Sc 2.82-2.96, 1 Hg 2.89
Sc 0.8894 0.0000 0.0194  3 Cl 2.60-2.63, 1 Hg 2.88
Sc 0.4780 0.5000 0.8839  1 Cl 2.47
Cl 0.1315 0.0000 0.5254  5 Sc 2.58-2.63
Hg 0.7163 0.0000 0.6100  5 Sc 2.82-2.96, 1 Hg 2.89
Cl 0.1315 0.5000 0.0254  5 Sc 2.58-2.63
Sc 0.9861 0.5000 0.8195  2 Cl 2.51-2.58
Cl 0.1614 0.5000 0.7196  3 Sc 2.47-2.60
Sc 0.8894 0.5000 0.5194  3 Cl 2.60-2.63, 1 Hg 2.88
Sc 0.3961 0.5000 0.5658  2 Cl 2.62
Sc 0.9861 0.0000 0.3195  2 Cl 2.51-2.58
Hg 0.6510 0.5000 0.2884  5 Sc 2.88-3.10, 1 Hg 2.89
Hg 0.6510 0.0000 0.7884  5 Sc 2.88-3.10, 1 Hg 2.89
Sc 0.4780 0.0000 0.3839  1 Cl 2.47
Cl 0.1614 0.0000 0.2196  3 Sc 2.47-2.60

KPu2ZnO8 after structural relaxation. Source: Alexandria, functional GGA-PBE.

Output
- N(E_F) (states/eV/f.u.) = 5.23
- density (Mg/m³) = 6.7
- crystal system = monoclinic
- raw formation energy (eV per atom) = -2.080
- SG = C2/m, No. 12

Cell lengths 5.0790, 5.0756, 6.9596 Å; angles 88.78, 88.78, 84.49 degrees
With the nearest neighbours (Å) after each atom.
Fractional coordinates of all 12 atoms:
O 0.7788 0.2204 0.7871  1 Pu 1.92, 1 Zn 2.11
Zn 0.0000 0.0000 0.0000  4 O 2.11
O 0.3400 0.3399 0.4719  1 Pu 2.00
Pu 0.5047 0.5047 0.2407  4 O 1.92-2.04
O 0.6779 0.6779 0.0094  2 Pu 2.04-2.25
O 0.2212 0.7796 0.2129  1 Pu 1.92, 1 Zn 2.11
O 0.6600 0.6601 0.5281  1 Pu 2.00
O 0.3221 0.3221 0.9906  2 Pu 2.04-2.25
O 0.7795 0.2212 0.2129  1 Pu 1.92, 1 Zn 2.11
Pu 0.4953 0.4953 0.7593  4 O 1.92-2.04
K 0.0000 0.0000 0.5000  6 O 2.50-2.56
O 0.2205 0.7788 0.7871  1 Pu 1.92, 1 Zn 2.11

Ac4GeRh after structural relaxation. Source: Alexandria, functional GGA-PBE.

Output
- DFT total energy (eV per atom) = -5.173
- N(E_F) (states/eV/f.u.) = 6.58
- density (Mg/m³) = 8.1
- crystal system = monoclinic
- SG = P2_1/c, No. 14

Cell lengths 7.6387, 7.6039, 7.6569 Å; angles 90.00, 94.19, 90.00 degrees
With the nearest neighbours (Å) after each atom.
Fractional coordinates of all 12 atoms:
Ac 0.3194 0.3346 0.3470  2 Rh 3.05-3.08, 1 Ge 3.33
Ac 0.8194 0.1654 0.3470  2 Rh 3.05-3.08, 1 Ge 3.33
Ac 0.1405 0.3422 0.8305  1 Rh 2.93, 2 Ge 3.13-3.18
Ac 0.3595 0.8422 0.1695  1 Rh 2.93, 2 Ge 3.13-3.18
Ac 0.1806 0.8346 0.6530  2 Rh 3.05-3.08, 1 Ge 3.33
Ac 0.6806 0.6654 0.6530  2 Rh 3.05-3.08, 1 Ge 3.33
Rh 0.0000 0.5000 0.5000  6 Ac 2.93-3.08
Ge 0.0000 0.0000 0.0000  6 Ac 3.13-3.33
Ac 0.8595 0.6578 0.1695  1 Rh 2.93, 2 Ge 3.13-3.18
Ge 0.5000 0.5000 0.0000  6 Ac 3.13-3.33
Ac 0.6405 0.1578 0.8305  1 Rh 2.93, 2 Ge 3.13-3.18
Rh 0.5000 0.0000 0.5000  6 Ac 2.93-3.08

Li5MgHg2 after structural relaxation. Source: Alexandria, functional GGA-PBE.

Output
- DFT total energy (eV per atom) = -1.736
- N(E_F) (states/eV/f.u.) = 2.31
- density (Mg/m³) = 5.2
- crystal system = orthorhombic
- SG = Pbam, No. 55

Cell lengths 4.2501, 5.8849, 11.7650 Å; angles 90.00, 90.00, 90.00 degrees
With the nearest neighbours (Å) after each atom.
Fractional coordinates of all 16 atoms:
Li 0.0000 0.4957 0.7467  7 Li 2.90-2.97, 4 Hg 2.92-3.01, 1 Mg 2.98
Li 0.0000 0.0043 0.2467  7 Li 2.90-2.97, 4 Hg 2.92-3.01, 1 Mg 2.98
Li 0.0000 0.5043 0.2533  7 Li 2.90-2.97, 4 Hg 2.92-3.01, 1 Mg 2.98
Li 0.5000 0.2560 0.3707  4 Hg 2.88-3.01, 6 Li 2.93-2.98, 2 Mg 3.02
Mg 0.0000 0.0000 0.5000  8 Li 2.94-3.02, 4 Hg 2.99
Hg 0.5000 0.2453 0.1260  10 Li 2.88-3.01, 2 Mg 2.99
Li 0.5000 0.7440 0.6293  4 Hg 2.88-3.01, 6 Li 2.93-2.98, 2 Mg 3.02
Hg 0.5000 0.2547 0.6260  10 Li 2.88-3.01, 2 Mg 2.99
Hg 0.5000 0.7547 0.8740  10 Li 2.88-3.01, 2 Mg 2.99
Mg 0.0000 0.5000 0.0000  8 Li 2.94-3.02, 4 Hg 2.99
Li 0.5000 0.7560 0.1293  4 Hg 2.88-3.01, 6 Li 2.93-2.98, 2 Mg 3.02
Hg 0.5000 0.7453 0.3740  10 Li 2.88-3.01, 2 Mg 2.99
Li 0.0000 0.0000 0.0000  6 Li 2.90-2.98, 2 Mg 2.94, 4 Hg 2.97
Li 0.0000 0.9957 0.7533  7 Li 2.90-2.97, 4 Hg 2.92-3.01, 1 Mg 2.98
Li 0.0000 0.5000 0.5000  6 Li 2.90-2.98, 2 Mg 2.94, 4 Hg 2.97
Li 0.5000 0.2440 0.8707  4 Hg 2.88-3.01, 6 Li 2.93-2.98, 2 Mg 3.02

Pr2TeI after structural relaxation. Source: Alexandria, functional GGA-PBE.

Output
- N(E_F) (states/eV/f.u.) = 2.72
- density (Mg/m³) = 7.4
- crystal system = tetragonal
- raw formation energy (eV per atom) = -1.148
- SG = P4/mmm, No. 123

Cell lengths 3.9102, 3.9102, 7.8230 Å; angles 90.00, 90.00, 90.00 degrees
With the nearest neighbours (Å) after each atom.
Fractional coordinates of all 4 atoms:
Pr 0.0000 0.0000 0.2378  4 Te 3.33, 4 I 3.44, 1 Pr 3.72
I 0.5000 0.5000 0.5000  8 Pr 3.44
Te 0.5000 0.5000 0.0000  8 Pr 3.33
Pr 0.0000 0.0000 0.7622  4 Te 3.33, 4 I 3.44, 1 Pr 3.72

Zn12Ag3Pd after structural relaxation. Source: Alexandria, functional GGA-PBE.

Output
- DFT total energy (eV per atom) = -1.888
- N(E_F) (states/eV/f.u.) = 5.87
- density (Mg/m³) = 8.3
- crystal system = tetragonal
- SG = P4/mmm, No. 123

Cell lengths 3.8861, 3.8861, 16.1516 Å; angles 90.00, 90.00, 90.00 degrees
With the nearest neighbours (Å) after each atom.
Fractional coordinates of all 16 atoms:
Zn 0.5000 0.0000 0.8801  8 Zn 2.74-2.82, 2 Pd 2.74, 2 Ag 2.83
Zn 0.5000 0.5000 0.5000  4 Ag 2.75, 8 Zn 2.83
Zn 0.0000 0.5000 0.1199  2 Pd 2.74, 8 Zn 2.74-2.82, 2 Ag 2.83
Zn 0.5000 0.0000 0.3730  8 Zn 2.75-2.83, 4 Ag 2.81-2.83
Pd 0.0000 0.0000 0.0000  12 Zn 2.74-2.75
Zn 0.5000 0.0000 0.6270  8 Zn 2.75-2.83, 4 Ag 2.81-2.83
Zn 0.5000 0.5000 0.0000  8 Zn 2.74, 4 Pd 2.75
Zn 0.0000 0.5000 0.8801  2 Pd 2.74, 8 Zn 2.74-2.82, 2 Ag 2.83
Zn 0.0000 0.5000 0.6270  8 Zn 2.75-2.83, 4 Ag 2.81-2.83
Zn 0.0000 0.5000 0.3730  8 Zn 2.75-2.83, 4 Ag 2.81-2.83
Ag 0.0000 0.0000 0.5000  12 Zn 2.75-2.83
Ag 0.0000 0.0000 0.7528  12 Zn 2.75-2.83
Zn 0.5000 0.5000 0.7532  4 Ag 2.75, 8 Zn 2.82
Ag 0.0000 0.0000 0.2472  12 Zn 2.75-2.83
Zn 0.5000 0.5000 0.2468  4 Ag 2.75, 8 Zn 2.82
Zn 0.5000 0.0000 0.1199  8 Zn 2.74-2.82, 2 Pd 2.74, 2 Ag 2.83

TiCd3Bi after structural relaxation. Source: Alexandria, functional GGA-PBE.

Output
- DFT total energy (eV per atom) = -1.781
- N(E_F) (states/eV/f.u.) = 11.76
- density (Mg/m³) = 5.4
- crystal system = cubic
- SG = Pm-3m, No. 221

Cell lengths 5.6674, 5.6674, 5.6674 Å; angles 90.00, 90.00, 90.00 degrees
With the nearest neighbours (Å) after each atom.
Fractional coordinates of all 5 atoms:
Cd 0.5000 0.0000 0.0000  2 Bi 2.83
Bi 0.0000 0.0000 0.0000  6 Cd 2.83
Cd 0.0000 0.5000 0.0000  2 Bi 2.83
Ti 0.5000 0.5000 0.5000  12 Cd 4.01
Cd 0.0000 0.0000 0.5000  2 Bi 2.83